(w)
TcAsSe2 | PBE-GGA | relaxed

Lattice parameters (Å, degrees): 3.061 4.433 11.854 90.00 90.00 90.00
Space group Imm2 (No. 44)
Inequivalent atoms, fractional coordinates:
Tc: 0.000 0.000 0.000 x2
As: 0.000 0.500 0.680 x2
Se: 0.000 0.000 0.541 x2
Se: 0.000 0.500 0.332 x2

Computed properties:
calculated density: 6.83 g/cm3
M_tot: 0.0 Bohr magnetons per cell

=====

(x)
TcAsSe2 | PBE-GGA | relaxed

Lattice parameters (Å, degrees): 2.979 2.979 8.839 90.00 90.00 90.00
Space group P4/mmm (No. 123)
Inequivalent atoms, fractional coordinates:
Tc: 0.000 0.000 0.000 x1
As: 0.000 0.000 0.500 x1
Se: 0.500 0.500 0.179 x2

Computed properties:
calculated density: 7.00 g/cm3
M_tot: 0.0 Bohr magnetons per cell

=====

(y)
TcAsSe2 | PBE-GGA | relaxed

Lattice parameters (Å, degrees): 4.749 9.102 3.865 90.00 90.00 90.00
Space group Cmmm (No. 65)
Inequivalent atoms, fractional coordinates:
Tc: 0.000 0.000 0.000 x2
As: 0.000 0.500 0.000 x2
Se: 0.000 0.183 0.500 x4

Computed properties:
calculated density: 6.58 g/cm3
M_tot: 0.0 Bohr magnetons per cell

=====

Most stable = (y)

=====

(w)
TiTcAs2Se | PBE-GGA | relaxed

Lattice parameters (Å, degrees): 4.652 4.652 5.292 90.00 90.00 90.00
Space group P4/mmm (No. 123)
Inequivalent atoms, fractional coordinates:
Ti: 0.000 0.000 0.000 x1
Tc: 0.500 0.500 0.500 x1
As: 0.000 0.500 0.500 x2
Se: 0.500 0.500 0.000 x1

Computed properties:
calculated density: 5.43 g/cm3
M_tot: 0.2 Bohr magnetons per cell

=====

(x)
TiTcAs2Se | PBE-GGA | relaxed

Lattice parameters (Å, degrees): 4.886 4.886 4.831 90.00 90.00 90.00
Space group P4/mmm (No. 123)
Inequivalent atoms, fractional coordinates:
Ti: 0.000 0.000 0.000 x1
Tc: 0.500 0.500 0.500 x1
As: 0.000 0.500 0.000 x2
Se: 0.000 0.000 0.500 x1

Computed properties:
calculated density: 5.39 g/cm3
M_tot: 3.5 Bohr magnetons per cell

=====

Most stable = (w)

=====

(w)
VTcAsSe2 | PBE-GGA | relaxed

Lattice parameters (Å, degrees): 4.956 4.956 4.652 90.00 90.00 90.00
Space group P4/mmm (No. 123)
Inequivalent atoms, fractional coordinates:
V: 0.000 0.000 0.000 x1
Tc: 0.500 0.500 0.500 x1
As: 0.500 0.500 0.000 x1
Se: 0.000 0.500 0.500 x2

Computed properties:
calculated density: 5.55 g/cm3
M_tot: 0.8 Bohr magnetons per cell

=====

(x)
VTcAsSe2 | PBE-GGA | relaxed

Lattice parameters (Å, degrees): 4.766 4.766 4.836 90.00 90.00 90.00
Space group P4/mmm (No. 123)
Inequivalent atoms, fractional coordinates:
V: 0.000 0.000 0.000 x1
Tc: 0.500 0.500 0.500 x1
As: 0.000 0.000 0.500 x1
Se: 0.000 0.500 0.000 x2

Computed properties:
calculated density: 5.77 g/cm3
M_tot: 4.6 Bohr magnetons per cell

=====

Most stable = (x)

=====

(w)
TcAsWSe2 | PBE-GGA | relaxed

Lattice parameters (Å, degrees): 4.880 4.880 5.010 90.00 90.00 90.00
Space group P4/mmm (No. 123)
Inequivalent atoms, fractional coordinates:
Tc: 0.000 0.000 0.000 x1
As: 0.500 0.500 0.000 x1
W: 0.500 0.500 0.500 x1
Se: 0.000 0.500 0.500 x2

Computed properties:
calculated density: 7.16 g/cm3
M_tot: 4.3 Bohr magnetons per cell

=====

(x)
TcAsWSe2 | PBE-GGA | relaxed

Lattice parameters (Å, degrees): 4.792 4.792 4.701 90.00 90.00 90.00
Space group P4/mmm (No. 123)
Inequivalent atoms, fractional coordinates:
Tc: 0.000 0.000 0.000 x1
As: 0.000 0.000 0.500 x1
W: 0.500 0.500 0.500 x1
Se: 0.000 0.500 0.000 x2

Computed properties:
calculated density: 7.92 g/cm3
M_tot: 0.3 Bohr magnetons per cell

=====

Most stable = (w)